No. 1
The following is a PBE calculation of a relaxed structure of La2BrF, from Alexandria via LeMat-Bulk.

Computed properties:
Formation energy from raw total energies   -1.389 eV/atom

Cell: 7.231 7.231 7.231 Å, 90.00 90.00 90.00°
Space group Fm-3m (No. 225)
Asymmetric unit:
La  0.250  0.250  0.250 [8 per cell]
Br  0.000  0.000  0.000 [4 per cell]
F  0.000  0.000  0.500 [4 per cell]

***

No. 2
The following is a PBE calculation of a relaxed structure of RbRu3O12, from Alexandria via LeMat-Bulk.

Computed properties:
Formation energy from raw total energies   -0.801 eV/atom

Cell: 9.4462 9.4462 32.8152 Å, 90.00 90.00 120.00°
Space group R3c (No. 161, hexagonal axes)
Asymmetric unit:
Rb  0.0000  0.0000  0.0000 [6 per cell]
Ru  0.0004  0.3207  0.3957 [18 per cell]
O  0.1298  0.3674  0.0198 [18 per cell]
O  0.1387  0.4354  0.1040 [18 per cell]
O  0.1937  0.4126  0.7376 [18 per cell]
O  0.2069  0.4357  0.3868 [18 per cell]

***

No. 3
The following is a PBE calculation of a relaxed structure of Ac12Zn3H5, from Alexandria via LeMat-Bulk.

Computed properties:
Raw total energy   -583.56 eV for the cell shown

Cell: 17.007 17.007 17.007 Å, 90.00 90.00 90.00°
Space group Ia-3d (No. 230)
Asymmetric unit:
Ac  0.038  0.059  0.652 [96 per cell]
Zn  0.000  0.250  0.125 [24 per cell]
H  0.000  0.000  0.000 [16 per cell]
H  0.000  0.250  0.375 [24 per cell]

***

No. 4
The following is a PBE calculation of a relaxed structure of CuAg2Te, from Alexandria via LeMat-Bulk.

Computed properties:
Formation energy from raw total energies   0.176 eV/atom

Cell: 3.080 3.807 6.689 Å, 90.00 90.00 90.00°
Space group Pmmm (No. 47)
Asymmetric unit:
Cu  0.000  0.000  0.000 [1 per cell]
Ag  0.500  0.500  0.206 [2 per cell]
Te  0.000  0.000  0.500 [1 per cell]

***

No. 5
The following is a PBE calculation of a relaxed structure of LiThHgPt, from Alexandria via LeMat-Bulk.

Computed properties:
E_form   -2.22 eV per formula unit

Cell: 7.075 7.075 7.075 Å, 90.00 90.00 90.00°
Space group F-43m (No. 216)
Asymmetric unit:
Li  0.000  0.000  0.000 [4 per cell]
Th  0.000  0.000  0.500 [4 per cell]
Hg  0.250  0.250  0.250 [4 per cell]
Pt  0.250  0.250  0.750 [4 per cell]

***

No. 6
The following is a PBE calculation of a relaxed structure of SrB2IrPd, from Alexandria via LeMat-Bulk.

Computed properties:
E_form   0.28 eV per formula unit

Cell: 4.099 4.099 5.347 Å, 90.00 90.00 90.00°
Space group P4/mmm (No. 123)
Asymmetric unit:
Sr  0.000  0.000  0.000 [1 per cell]
B  0.000  0.500  0.500 [2 per cell]
Ir  0.500  0.500  0.500 [1 per cell]
Pd  0.500  0.500  0.000 [1 per cell]

***

Number 1: V 23.63 Å³/atom. Number 2: V 26.42 Å³/atom. Number 3: V 30.74 Å³/atom. Number 4: V 19.61 Å³/atom. Number 5: V 22.14 Å³/atom. Number 6: V 17.97 Å³/atom.